An optimized crystal structure of CaMn6O5F7. Source: the Alexandria database, functional PBE+U.

Calculated values
Energy above the most stable polymorph in this dataset (meV/atom): 30
Space-group type: P1
Size of the total moment (μB per atom): 1.421
ρ (g/cm3): 3.7

a = 6.0014 Å, b = 6.5966 Å, c = 7.2254 Å
α = 106.53°, β = 106.26°, γ = 86.99°
Last column: nearest neighbours and their distance in Å.
Sites, in units of the cell vectors:
Mn: 0.2435 0.4129 0.8479  3 F 2.07-2.14, 2 O 2.12-2.25
F: 0.5496 0.5880 0.3614  2 Mn 2.05-2.09
Mn: 0.0748 0.8917 0.5043  2 O 1.98-2.05, 3 F 2.04-2.20
Mn: 0.2271 0.3871 0.3200  3 O 1.88-1.99
Ca: 0.6551 0.1703 0.6526  4 F 2.23-2.31, 2 O 2.35-2.37
F: 0.5996 0.3467 0.9621  2 Mn 2.14, 1 Ca 2.31
O: 0.1575 0.2477 0.0323  3 Mn 1.95-2.12
F: 0.9170 0.3941 0.6464  2 Mn 2.07-2.30, 1 Ca 2.23
Mn: 0.6939 0.6603 0.1549  2 O 1.95-2.01, 3 F 2.09-2.18
O: 0.3998 0.4465 0.6090  2 Mn 1.99-2.07
Mn: 0.6620 0.6674 0.6694  3 O 1.96-2.07, 1 F 2.05
F: 0.7330 0.9801 0.3573  2 Mn 2.16-2.18, 1 Ca 2.31
F: 0.4132 0.9352 0.6727  2 Mn 2.04-2.25, 1 Ca 2.24
O: 0.0115 0.6043 0.3135  3 Mn 1.88-2.01
F: 0.3340 0.7282 0.0153  3 Mn 2.10-2.22
Mn: 0.0511 0.9592 0.0028  3 O 1.94-1.98, 1 F 2.07
F: 0.1740 0.0580 0.3132  3 Mn 2.07-2.20
O: 0.8105 0.7431 0.9601  3 Mn 1.95-1.98
O: 0.9073 0.8940 0.7159  3 Mn 1.94-2.05